PBE TmTcOs, relaxed; E = -7.300 eV per atom
1.0
0.000 3.136 3.136
3.136 0.000 3.136
3.136 3.136 0.000
Tc Os Tm
1 1 1
Direct
0.750 0.750 0.750 Tc
0.250 0.250 0.250 Os
0.000 0.000 0.000 Tm